First-principles (PBE) data for a relaxed structure of ThZn5Pd7, as listed in Alexandria.

Summary:
Uncorrected energy ... -4.423 eV per atom

CIF file:
```
data_ThZn5Pd7
_chemical_formula_sum 'Th2 Zn10 Pd14'
_space_group_name_H-M_alt 'I m m 2'
_space_group_IT_number 44
_space_group_name_Hall 'I 2 -2'
_cell_length_a 5.3010
_cell_length_b 8.8919
_cell_length_c 8.8708
_cell_angle_alpha 90.00
_cell_angle_beta 90.00
_cell_angle_gamma 90.00
loop_
_atom_site_label
_atom_site_fract_x
_atom_site_fract_y
_atom_site_fract_z
_atom_site_occupancy
Th1 0.0000 0.0000 0.0000 1
Zn1 0.0000 0.5000 0.2572 1
Zn2 0.2465 0.2503 0.7391 1
Pd1 0.0000 0.0000 0.3339 1
Pd2 0.0000 0.0000 0.6532 1
Pd3 0.0000 0.2927 0.4833 1
Pd4 0.0000 0.3396 0.9923 1
Pd5 0.0000 0.5000 0.7163 1
```

First-principles (PBE) data for a relaxed structure of KSm2HgS4, as listed in Alexandria.

Summary:
Uncorrected energy ... -4.808 eV per atom

CIF file:
```
data_KSm2HgS4
_chemical_formula_sum 'K4 Sm8 Hg4 S16'
_space_group_name_H-M_alt 'C m c m'
_space_group_IT_number 63
_space_group_name_Hall '-C 2c 2'
_cell_length_a 4.1621
_cell_length_b 13.8560
_cell_length_c 14.5906
_cell_angle_alpha 90.00
_cell_angle_beta 90.00
_cell_angle_gamma 90.00
loop_
_atom_site_label
_atom_site_fract_x
_atom_site_fract_y
_atom_site_fract_z
_atom_site_occupancy
K1 0.0000 0.1235 0.2500 1
Sm1 0.0000 0.3743 0.0566 1
Hg1 0.0000 0.1576 0.7500 1
S1 0.0000 0.0000 0.0000 1
S2 0.0000 0.2644 0.6031 1
S3 0.0000 0.4514 0.2500 1
```

First-principles (PBE) data for a relaxed structure of LiNp4, as listed in Alexandria.

Summary:
Uncorrected energy ... -9.317 eV per atom

CIF file:
```
data_LiNp4
_chemical_formula_sum 'Li1 Np4'
_space_group_name_H-M_alt 'P m -3 m'
_space_group_IT_number 221
_space_group_name_Hall '-P 4 2 3'
_cell_length_a 4.9493
_cell_length_b 4.9493
_cell_length_c 4.9493
_cell_angle_alpha 90.00
_cell_angle_beta 90.00
_cell_angle_gamma 90.00
loop_
_atom_site_label
_atom_site_fract_x
_atom_site_fract_y
_atom_site_fract_z
_atom_site_occupancy
Li1 0.0000 0.0000 0.0000 1
Np1 0.0000 0.0000 0.5000 1
Np2 0.5000 0.5000 0.5000 1
```

First-principles (PBE) data for a relaxed structure of Na10B17C3, as listed in Alexandria.

Summary:
Energy above the most stable polymorph in this dataset ... 0.40 kJ per mole of atoms
Uncorrected energy ... -4.937 eV per atom

CIF file:
```
data_Na10B17C3
_chemical_formula_sum 'Na20 B34 C6'
_space_group_name_H-M_alt 'A m m 2'
_space_group_IT_number 38
_space_group_name_Hall 'A 2 -2'
_cell_length_a 8.6867
_cell_length_b 2.8221
_cell_length_c 26.7265
_cell_angle_alpha 90.00
_cell_angle_beta 90.00
_cell_angle_gamma 90.00
loop_
_atom_site_label
_atom_site_fract_x
_atom_site_fract_y
_atom_site_fract_z
_atom_site_occupancy
Na1 0.2475 0.0000 0.0000 1
Na2 0.2493 0.0000 0.5986 1
Na3 0.2501 0.0000 0.3991 1
Na4 0.2505 0.0000 0.7975 1
Na5 0.2529 0.0000 0.1974 1
B1 0.0000 0.0000 0.0709 1
B2 0.0000 0.0000 0.1361 1
B3 0.0000 0.0000 0.2635 1
B4 0.0000 0.0000 0.3258 1
B5 0.0000 0.0000 0.4692 1
B6 0.0000 0.0000 0.5330 1
B7 0.0000 0.0000 0.7240 1
B8 0.0000 0.0000 0.8668 1
B9 0.0000 0.0000 0.9294 1
B10 0.5000 0.0000 0.0659 1
B11 0.5000 0.0000 0.2647 1
B12 0.5000 0.0000 0.3287 1
B13 0.5000 0.0000 0.4765 1
B14 0.5000 0.0000 0.6572 1
B15 0.5000 0.0000 0.7243 1
B16 0.5000 0.0000 0.8719 1
B17 0.5000 0.0000 0.9348 1
C1 0.0000 0.0000 0.6655 1
C2 0.5000 0.0000 0.1269 1
C3 0.5000 0.0000 0.5351 1
```